TlGaHgCl2: relaxed, GGA-PBE.

POSCAR file:
```
TlGaHgCl2
1.0
5.4462 0.0000 0.0000
0.0000 5.4462 0.0000
0.0000 0.0000 5.2133
Cl Hg Tl Ga
2 1 1 1
direct
0.5000 0.0000 0.0000
0.0000 0.5000 0.0000
0.0000 0.0000 0.5000
0.5000 0.5000 0.5000
0.0000 0.0000 0.0000
```

Output
Symmetry: No. 123
Total energy in eV per formula unit: -12.2
Total moment in μB per formula unit: 0.0
Formation energy without anion corrections in eV/atom: -0.567